{"formula": "MgAl3Ir4", "functional": "PBE-GGA", "state": "optimized geometry", "cell": [[4.2902, 0.0000, 0.0000], [0.0000, 6.0659, 0.0000], [0.0000, 0.0000, 8.5804]], "species": ["Al", "Al", "Ir", "Ir", "Ir", "Al", "Mg", "Ir", "Mg", "Ir", "Al", "Al", "Ir", "Al", "Ir", "Ir"], "frac_coords": [[0.0000, 0.0000, 0.0000], [0.5000, 0.0000, 0.2500], [0.5000, 0.7563, 0.5000], [0.0000, 0.2437, 0.2500], [0.5000, 0.2437, 0.5000], [0.0000, 0.0000, 0.5000], [0.0000, 0.5000, 0.0000], [0.5000, 0.7563, 0.0000], [0.0000, 0.5000, 0.5000], [0.0000, 0.7563, 0.2500], [0.5001, 0.5000, 0.7500], [0.4999, 0.5000, 0.2500], [0.5000, 0.2437, 0.0000], [0.5000, 0.0000, 0.7500], [0.0000, 0.2437, 0.7500], [0.0000, 0.7563, 0.7500]], "crystal_system": "tetragonal", "volume_a3_per_atom": 14.0, "e_form_ev_per_fu": -6.92}

=====

{"formula": "Mn2InBr6", "functional": "PBE-GGA", "state": "optimized geometry", "cell": [[-2.5028, 5.7667, 3.6929], [3.0326, -2.3660, 8.4942], [7.6635, 5.3011, -0.3398]], "species": ["Mn", "Br", "Br", "Br", "Br", "Br", "Br", "Br", "Br", "In", "Mn", "Br", "Mn", "Mn", "Br", "In", "Br", "Br"], "frac_coords": [[0.1892, 0.6132, 0.7743], [0.3874, 0.7102, 0.5524], [0.1126, 0.4476, 0.2898], [0.3712, 0.3900, 0.8727], [0.3685, 0.0416, 0.2005], [0.1288, 0.1273, 0.6100], [0.6315, 0.9584, 0.7995], [0.6288, 0.6100, 0.1273], [0.1315, 0.7995, 0.9584], [0.2500, 0.1157, 0.8843], [0.3108, 0.2257, 0.3868], [0.6126, 0.2898, 0.4476], [0.6892, 0.7743, 0.6132], [0.8108, 0.3868, 0.2257], [0.8712, 0.8727, 0.3900], [0.7500, 0.8843, 0.1157], [0.8874, 0.5524, 0.7102], [0.8685, 0.2005, 0.0416]], "crystal_system": "monoclinic", "volume_a3_per_atom": 34.4, "relative_energy_ev_per_atom": 0.000, "formation_energy_uncorrected_ev_per_atom": -0.709}

=====

What did the first record say?
{"formula": "MgAl3Ir4", "functional": "PBE-GGA", "state": "optimized geometry", "cell": [[4.2902, 0.0000, 0.0000], [0.0000, 6.0659, 0.0000], [0.0000, 0.0000, 8.5804]], "species": ["Al", "Al", "Ir", "Ir", "Ir", "Al", "Mg", "Ir", "Mg", "Ir", "Al", "Al", "Ir", "Al", "Ir", "Ir"], "frac_coords": [[0.0000, 0.0000, 0.0000], [0.5000, 0.0000, 0.2500], [0.5000, 0.7563, 0.5000], [0.0000, 0.2437, 0.2500], [0.5000, 0.2437, 0.5000], [0.0000, 0.0000, 0.5000], [0.0000, 0.5000, 0.0000], [0.5000, 0.7563, 0.0000], [0.0000, 0.5000, 0.5000], [0.0000, 0.7563, 0.2500], [0.5001, 0.5000, 0.7500], [0.4999, 0.5000, 0.2500], [0.5000, 0.2437, 0.0000], [0.5000, 0.0000, 0.7500], [0.0000, 0.2437, 0.7500], [0.0000, 0.7563, 0.7500]], "crystal_system": "tetragonal", "volume_a3_per_atom": 14.0, "e_form_ev_per_fu": -6.92}

=====

Please write out number 2 again, unchanged.
{"formula": "Mn2InBr6", "functional": "PBE-GGA", "state": "optimized geometry", "cell": [[-2.5028, 5.7667, 3.6929], [3.0326, -2.3660, 8.4942], [7.6635, 5.3011, -0.3398]], "species": ["Mn", "Br", "Br", "Br", "Br", "Br", "Br", "Br", "Br", "In", "Mn", "Br", "Mn", "Mn", "Br", "In", "Br", "Br"], "frac_coords": [[0.1892, 0.6132, 0.7743], [0.3874, 0.7102, 0.5524], [0.1126, 0.4476, 0.2898], [0.3712, 0.3900, 0.8727], [0.3685, 0.0416, 0.2005], [0.1288, 0.1273, 0.6100], [0.6315, 0.9584, 0.7995], [0.6288, 0.6100, 0.1273], [0.1315, 0.7995, 0.9584], [0.2500, 0.1157, 0.8843], [0.3108, 0.2257, 0.3868], [0.6126, 0.2898, 0.4476], [0.6892, 0.7743, 0.6132], [0.8108, 0.3868, 0.2257], [0.8712, 0.8727, 0.3900], [0.7500, 0.8843, 0.1157], [0.8874, 0.5524, 0.7102], [0.8685, 0.2005, 0.0416]], "crystal_system": "monoclinic", "volume_a3_per_atom": 34.4, "relative_energy_ev_per_atom": 0.000, "formation_energy_uncorrected_ev_per_atom": -0.709}